DFT (PBE) results for crystalline K3HoAl2O6 at its relaxed geometry.

Summary:
Magnetization in μB/atom: 0.000
Uncorrected energy in eV/atom: -6.15
Calculated volume in Å³/atom: 18.5
ΔE_f (raw) in eV/atom: -2.3962

Cell: 6.0251 6.0251 7.0743 Å, 90.00 90.00 120.00°
With the nearest neighbours (Å) after each atom.
Atoms (fractional coordinates):
K1 0.0000 0.0000 0.0000  6 O 2.75
K2 0.3333 0.6667 0.7482  6 O 3.03, 1 Al 3.20
K3 0.6667 0.3333 0.2518  6 O 3.03, 1 Al 3.20
Ho1 0.0000 0.0000 0.5000  6 O 2.28
Al1 0.3333 0.6667 0.2961  3 O 1.71
Al2 0.6667 0.3333 0.7039  3 O 1.71
O1 0.1699 0.3399 0.2977  1 Al 1.71
O2 0.1699 0.8301 0.2977  1 Al 1.71
O3 0.3399 0.1699 0.7023  1 Al 1.71
O4 0.6601 0.8301 0.2977  1 Al 1.71
O5 0.8301 0.1699 0.7023  1 Al 1.71
O6 0.8301 0.6601 0.7023  1 Al 1.71



DFT (PBE) results for crystalline K3Ho3AlO8 at its relaxed geometry.

Summary:
Magnetization in μB/atom: 0.076
Uncorrected energy in eV/atom: -6.64
Calculated volume in Å³/atom: 16.2
ΔE_f (raw) in eV/atom: -2.6084

Cell: 7.3677 7.3677 7.3677 Å, 54.01 54.01 54.01°
With the nearest neighbours (Å) after each atom.
Atoms (fractional coordinates):
K1 0.0000 0.5000 0.5000  6 O 2.77-2.78
K2 0.5000 0.0000 0.5000  6 O 2.77-2.78
K3 0.5000 0.5000 0.0000  6 O 2.77-2.78
Ho1 0.0000 0.0000 0.5000  6 O 2.25-2.30
Ho2 0.0000 0.5000 0.0000  6 O 2.25-2.30
Ho3 0.5000 0.0000 0.0000  6 O 2.25-2.30
Al1 0.5000 0.5000 0.5000  6 O 2.02
O1 0.2278 0.2278 0.2278  3 Ho 2.25
O2 0.2582 0.7045 0.7045  1 Al 2.02
O3 0.2955 0.2955 0.7418  1 Al 2.02
O4 0.2955 0.7418 0.2955  1 Al 2.02
O5 0.7045 0.2582 0.7045  1 Al 2.02
O6 0.7045 0.7045 0.2582  1 Al 2.02
O7 0.7418 0.2955 0.2955  1 Al 2.02
O8 0.7722 0.7722 0.7722  3 Ho 2.25